! Pb2Cl (SCAN, single point on PBEsol structure); values from VASP
! Spin magnetization (μB per formula unit): 0.0
! Calculated density (Mg/m³): 9.31
! SG: P-3m1 (164)
! DFT total energy (eV/atom): -53.5181
&SYSTEM
  ibrav = 0, nat = 3, ntyp = 2
/
ATOMIC_SPECIES
Pb 207.20 Pb.upf
Cl 35.45 Cl.upf
CELL_PARAMETERS angstrom
5.283 0.000 0.000
-2.641 4.575 0.000
0.000 0.000 3.318
ATOMIC_POSITIONS crystal
Pb 0.333 0.667 0.235
Pb 0.667 0.333 0.765
Cl 0.000 0.000 0.000